Record 1
Computed, not measured: a geometry-optimized LiCeAg2Ge2 structure at the GGA-PBE level of DFT.

Structure (POSCAR):
```
LiCeAg2Ge2
1.0
4.414 0.000 0.000
-2.207 3.823 0.000
0.000 0.000 6.890
Li Ce Ag Ge
1 1 2 2
Direct
0.000 0.000 0.000
0.000 0.000 0.500
0.333 0.667 0.156
0.667 0.333 0.844
0.333 0.667 0.740
0.667 0.333 0.260
```

M_tot (μB per atom): 0.000
Fermi-level density of states (states/eV/f.u.): 4.986
Space-group type: P-3m1 (164)
Total energy (eV/atom): -4.201
Energy relative to the elements (eV/atom): -0.40


Record 2
Computed, not measured: a geometry-optimized BaSrLiRh structure at the GGA-PBE level of DFT.

Structure (POSCAR):
```
BaSrLiRh
1.0
0.000 3.873 3.873
3.873 0.000 3.873
3.873 3.873 0.000
Ba Sr Li Rh
1 1 1 1
Direct
0.000 0.000 0.000
0.500 0.500 0.500
0.250 0.250 0.250
0.750 0.750 0.750
```

M_tot (μB per atom): 0.000
Fermi-level density of states (states/eV/f.u.): 2.087
Space-group type: F-43m (216)
Total energy (eV/atom): -3.253
Energy relative to the elements (eV/atom): -0.04


Record 3
Computed, not measured: a geometry-optimized SrLiBe2H6 structure at the GGA-PBE level of DFT.

Structure (POSCAR):
```
SrLiBe2H6
1.0
2.304 1.330 5.388
-2.304 1.330 5.388
0.000 -2.661 5.388
Sr Li Be H
1 1 2 6
Direct
0.000 0.000 0.000
0.500 0.500 0.500
0.232 0.232 0.232
0.768 0.768 0.768
0.085 0.577 0.577
0.423 0.423 0.915
0.423 0.915 0.423
0.577 0.085 0.577
0.577 0.577 0.085
0.915 0.423 0.423
```

M_tot (μB per atom): 0.000
Fermi-level density of states (states/eV/f.u.): 1.412
Space-group type: R-3m (166)
Total energy (eV/atom): -3.323


Record 4
Computed, not measured: a geometry-optimized Ho3Th2Sc2 structure at the GGA-PBE level of DFT.

Structure (POSCAR):
```
Ho3Th2Sc2
1.0
5.493 -2.446 0.000
5.493 2.446 0.000
-1.123 0.000 7.711
Ho Th Sc
3 2 2
Direct
0.000 0.000 0.000
0.285 0.285 0.852
0.715 0.715 0.148
0.140 0.140 0.430
0.860 0.860 0.570
0.430 0.430 0.294
0.570 0.570 0.706
```

M_tot (μB per atom): 0.000
Fermi-level density of states (states/eV/f.u.): 12.232
Space-group type: C2/m (12)
Total energy (eV/atom): -5.850
Energy relative to the elements (eV/atom): 0.04


Record 5
Computed, not measured: a geometry-optimized Ba3CoRe structure at the GGA-PBE level of DFT.

Structure (POSCAR):
```
Ba3CoRe
1.0
5.902 0.000 0.000
0.000 5.902 0.000
0.000 0.000 5.902
Ba Co Re
3 1 1
Direct
0.000 0.000 0.500
0.000 0.500 0.000
0.500 0.000 0.000
0.500 0.500 0.500
0.000 0.000 0.000
```

M_tot (μB per atom): 0.376
Fermi-level density of states (states/eV/f.u.): 27.152
Space-group type: Pm-3m (221)
Total energy (eV/atom): -3.858
Energy relative to the elements (eV/atom): 1.21


Record 6
Computed, not measured: a geometry-optimized CuAs structure at the GGA-PBE level of DFT.

Structure (POSCAR):
```
CuAs
1.0
-1.879 1.879 4.418
1.879 -1.879 4.418
1.879 1.879 -4.418
Cu As
2 2
Direct
0.375 0.625 0.750
0.625 0.375 0.250
0.125 0.875 0.250
0.875 0.125 0.750
```

M_tot (μB per atom): 0.000
Fermi-level density of states (states/eV/f.u.): 1.158
Space-group type: I4_1/amd (141)
Total energy (eV/atom): -4.111
Energy relative to the elements (eV/atom): 0.26


Record 7
Computed, not measured: a geometry-optimized LaHf2Zr structure at the GGA-PBE level of DFT.

Structure (POSCAR):
```
LaHf2Zr
1.0
1.632 0.942 10.904
-1.632 0.942 10.904
0.000 -1.884 10.904
La Hf Zr
1 2 1
Direct
0.000 0.000 0.000
0.575 0.575 0.575
0.756 0.756 0.756
0.166 0.166 0.166
```

M_tot (μB per atom): 0.000
Fermi-level density of states (states/eV/f.u.): 5.216
Space-group type: R3m (160)
Total energy (eV/atom): -8.174
Energy relative to the elements (eV/atom): 0.17


Record 8
Computed, not measured: a geometry-optimized Co3NiSn6 structure at the GGA-PBE level of DFT.

Structure (POSCAR):
```
Co3NiSn6
1.0
6.736 0.000 0.000
0.000 6.396 0.000
-5.490 0.000 8.816
Co Ni Sn
6 2 12
Direct
0.000 0.000 0.000
0.000 0.500 0.500
0.200 0.166 0.725
0.200 0.334 0.225
0.800 0.666 0.775
0.800 0.834 0.275
0.500 0.000 0.500
0.500 0.500 0.000
0.104 0.153 0.433
0.104 0.347 0.933
0.245 0.664 0.403
0.245 0.836 0.903
0.420 0.504 0.732
0.420 0.996 0.232
0.580 0.004 0.768
0.580 0.496 0.268
0.755 0.164 0.097
0.755 0.336 0.597
0.896 0.653 0.067
0.896 0.847 0.567
```

M_tot (μB per atom): 0.000
Fermi-level density of states (states/eV/f.u.): 6.623
Space-group type: P2_1/c (14)
Total energy (eV/atom): -5.110
Energy relative to the elements (eV/atom): 0.00


Record 9
Computed, not measured: a geometry-optimized ThMgAlCu structure at the GGA-PBE level of DFT.

Structure (POSCAR):
```
ThMgAlCu
1.0
0.000 3.492 3.492
3.492 0.000 3.492
3.492 3.492 0.000
Th Mg Al Cu
1 1 1 1
Direct
0.000 0.000 0.000
0.500 0.500 0.500
0.750 0.750 0.750
0.250 0.250 0.250
```

M_tot (μB per atom): 0.000
Fermi-level density of states (states/eV/f.u.): 1.441
Space-group type: F-43m (216)
Total energy (eV/atom): -4.359
Energy relative to the elements (eV/atom): -0.15


Record 10
Computed, not measured: a geometry-optimized TlCu2Pd5 structure at the GGA-PBE level of DFT.

Structure (POSCAR):
```
TlCu2Pd5
1.0
-2.864 2.864 3.786
2.864 -2.864 3.786
2.864 2.864 -3.786
Tl Cu Pd
1 2 5
Direct
0.000 0.000 0.000
0.000 0.500 0.500
0.500 0.000 0.500
0.000 0.000 0.500
0.000 0.500 0.000
0.500 0.000 0.000
0.500 0.500 0.000
0.500 0.500 0.500
```

M_tot (μB per atom): 0.000
Fermi-level density of states (states/eV/f.u.): 7.904
Space-group type: I4/mmm (139)
Total energy (eV/atom): -4.665
Energy relative to the elements (eV/atom): -0.10


Record 11
Computed, not measured: a geometry-optimized Sm2HoP3Rh4 structure at the GGA-PBE level of DFT.

Structure (POSCAR):
```
Sm2HoP3Rh4
1.0
4.008 0.000 0.000
0.000 4.008 0.000
0.000 0.000 11.213
Sm Ho P Rh
2 1 3 4
Direct
0.000 0.500 0.223
0.500 0.000 0.777
0.000 0.000 0.500
0.000 0.500 0.875
0.500 0.000 0.125
0.500 0.500 0.500
0.000 0.000 0.000
0.000 0.500 0.669
0.500 0.000 0.331
0.500 0.500 0.000
```

M_tot (μB per atom): 0.000
Fermi-level density of states (states/eV/f.u.): 5.268
Space-group type: P-4m2 (115)
Total energy (eV/atom): -7.045
Energy relative to the elements (eV/atom): -1.08


Record 12
Computed, not measured: a geometry-optimized Lu2FeSe structure at the GGA-PBE level of DFT.

Structure (POSCAR):
```
Lu2FeSe
1.0
3.423 0.000 0.000
0.000 3.423 0.000
0.000 0.000 6.774
Lu Fe Se
2 1 1
Direct
0.000 0.000 0.231
0.000 0.000 0.769
0.500 0.500 0.000
0.500 0.500 0.500
```

M_tot (μB per atom): 0.167
Fermi-level density of states (states/eV/f.u.): 2.126
Space-group type: P4/mmm (123)
Uncorrected formation energy (eV/f.u.): -2.616
Total energy (eV/atom): -5.901


Record 13
Computed, not measured: a geometry-optimized Pr2Ag2Sn structure at the GGA-PBE level of DFT.

Structure (POSCAR):
```
Pr2Ag2Sn
1.0
5.699 -2.316 0.000
5.699 2.316 0.000
-4.948 0.000 10.296
Pr Ag Sn
4 4 2
Direct
0.017 0.017 0.340
0.190 0.190 0.105
0.810 0.810 0.895
0.983 0.983 0.660
0.362 0.362 0.446
0.470 0.470 0.109
0.530 0.530 0.891
0.638 0.638 0.554
0.279 0.279 0.669
0.721 0.721 0.331
```

M_tot (μB per atom): 0.000
Fermi-level density of states (states/eV/f.u.): 4.386
Space-group type: C2/m (12)
Total energy (eV/atom): -4.253
Energy relative to the elements (eV/atom): -0.40


Record 14
Computed, not measured: a geometry-optimized LiIn3Au3 structure at the GGA-PBE level of DFT.

Structure (POSCAR):
```
LiIn3Au3
1.0
3.729 -5.328 0.000
3.729 5.328 0.000
-0.052 0.000 7.519
Li In Au
2 6 6
Direct
0.197 0.197 0.498
0.803 0.803 0.502
0.157 0.157 0.128
0.266 0.734 0.500
0.319 0.681 0.000
0.681 0.319 0.000
0.734 0.266 0.500
0.843 0.843 0.872
0.035 0.323 0.782
0.323 0.035 0.782
0.492 0.492 0.299
0.508 0.508 0.701
0.677 0.965 0.218
0.965 0.677 0.218
```

M_tot (μB per atom): 0.000
Fermi-level density of states (states/eV/f.u.): 2.285
Space-group type: C2/m (12)
Total energy (eV/atom): -3.104
Energy relative to the elements (eV/atom): -0.25


Record 15
Computed, not measured: a geometry-optimized SrAcAu structure at the GGA-PBE level of DFT.

Structure (POSCAR):
```
SrAcAu
1.0
4.509 0.000 0.000
-2.255 3.905 0.000
0.000 0.000 7.183
Sr Ac Au
1 1 1
Direct
0.000 0.000 0.000
0.333 0.667 0.507
0.667 0.333 0.744
```

M_tot (μB per atom): 0.000
Fermi-level density of states (states/eV/f.u.): 2.853
Space-group type: P3m1 (156)
Total energy (eV/atom): -3.479
Energy relative to the elements (eV/atom): -0.46


Record 16
Computed, not measured: a geometry-optimized Nd4UN5 structure at the GGA-PBE level of DFT.

Structure (POSCAR):
```
Nd4UN5
1.0
-4.013 4.013 2.548
4.013 -4.013 2.548
4.013 4.013 -2.548
Nd U N
4 1 5
Direct
0.101 0.700 0.801
0.300 0.101 0.401
0.700 0.899 0.599
0.899 0.300 0.199
0.500 0.500 0.000
0.001 0.001 0.000
0.235 0.411 0.646
0.411 0.765 0.176
0.589 0.235 0.824
0.765 0.589 0.354
```

M_tot (μB per atom): 0.000
Fermi-level density of states (states/eV/f.u.): 5.219
Space-group type: I4 (79)
Uncorrected formation energy (eV/f.u.): -14.235
Total energy (eV/atom): -8.622


Record 17
Computed, not measured: a geometry-optimized AcCd8In4 structure at the GGA-PBE level of DFT.

Structure (POSCAR):
```
AcCd8In4
1.0
-4.999 4.999 3.319
4.999 -4.999 3.319
4.999 4.999 -3.319
Ac Cd In
1 8 4
Direct
0.000 0.000 0.000
0.000 0.356 0.356
0.000 0.644 0.644
0.285 0.500 0.785
0.356 0.000 0.356
0.500 0.285 0.785
0.500 0.715 0.215
0.644 0.000 0.644
0.715 0.500 0.215
0.000 0.000 0.500
0.000 0.500 0.000
0.500 0.000 0.000
0.500 0.500 0.500
```

M_tot (μB per atom): 0.000
Fermi-level density of states (states/eV/f.u.): 5.625
Space-group type: I4/mmm (139)
Total energy (eV/atom): -1.802
Energy relative to the elements (eV/atom): -0.08


Record 18
Computed, not measured: a geometry-optimized ScTi2F8 structure at the GGA-PBE level of DFT.

Structure (POSCAR):
```
ScTi2F8
1.0
5.113 -2.746 0.000
5.113 2.746 0.000
-0.942 0.000 5.044
Sc Ti F
1 2 8
Direct
0.000 0.000 0.000
0.261 0.261 0.503
0.739 0.739 0.497
0.111 0.637 0.747
0.127 0.127 0.746
0.363 0.889 0.253
0.372 0.372 0.259
0.628 0.628 0.741
0.637 0.111 0.747
0.873 0.873 0.254
0.889 0.363 0.253
```

M_tot (μB per atom): 0.089
Fermi-level density of states (states/eV/f.u.): 2.346
Space-group type: C2/m (12)
Uncorrected formation energy (eV/f.u.): -36.152
Total energy (eV/atom): -6.659


Record 19
Computed, not measured: a geometry-optimized P2OsW structure at the GGA-PBE level of DFT.

Structure (POSCAR):
```
P2OsW
1.0
-2.714 2.714 5.144
2.714 -2.714 5.144
2.714 2.714 -5.144
P Os W
4 2 2
Direct
0.110 0.625 0.985
0.375 0.360 0.485
0.640 0.125 0.015
0.875 0.890 0.515
0.000 0.000 0.000
0.750 0.250 0.500
0.250 0.750 0.500
0.500 0.500 0.000
```

M_tot (μB per atom): 0.000
Fermi-level density of states (states/eV/f.u.): 3.526
Space-group type: I-42d (122)
Total energy (eV/atom): -8.461
Energy relative to the elements (eV/atom): 0.29


Record 20
Computed, not measured: a geometry-optimized BaCrIn2 structure at the GGA-PBE level of DFT.

Structure (POSCAR):
```
BaCrIn2
1.0
0.000 3.851 3.851
3.851 0.000 3.851
3.851 3.851 0.000
Ba Cr In
1 1 2
Direct
0.000 0.000 0.000
0.500 0.500 0.500
0.250 0.250 0.250
0.750 0.750 0.750
```

M_tot (μB per atom): 1.037
Fermi-level density of states (states/eV/f.u.): 1.632
Space-group type: Fm-3m (225)
Total energy (eV/atom): -4.101
Energy relative to the elements (eV/atom): 0.15


no.,density (Mg/m³)
1,7.26
2,4.78
3,1.99
4,8.40
5,5.31
6,7.37
7,9.70
8,8.29
9,6.77
10,11.54
11,8.95
12,10.14
13,7.53
14,10.48
15,6.72
16,8.95
17,7.94
18,3.43
19,9.55
20,6.09